1.
Below is a geometry-optimized Al2FeRu structure, with properties calculated at the GGA-PBE level.

abc: 2.7203 2.7204 7.4541
angles: 90.00 90.00 90.01
Sites, in units of the cell vectors:
Al 0.5000 0.5000 0.2872
Fe 0.0000 0.0000 0.5129
Al 0.0000 0.0000 0.9747
Ru 0.5000 0.5000 0.7252

Calculated values
**Size of the total moment**: 0.000 μB/cell
**DOS(E_F)**: 2.2 states/eV/cell
**Crystal system**: tetragonal
**Energy of formation**: -162 meV per atom

=====

2.
Below is a geometry-optimized Al3Fe2Ru structure, with properties calculated at the GGA-PBE level.

abc: 2.9436 2.9436 8.6728
angles: 90.00 90.00 90.00
Sites, in units of the cell vectors:
Fe 0.5000 0.5000 0.1575
Al 0.0000 0.0000 0.3258
Ru 0.5000 0.5000 0.5000
Fe 0.5000 0.5000 0.8425
Al 0.0000 0.0000 0.0000
Al 0.0000 0.0000 0.6742

Calculated values
**Size of the total moment**: 1.840 μB/cell
**DOS(E_F)**: 6.2 states/eV/cell
**Crystal system**: tetragonal
**Energy of formation**: -431 meV per atom

=====

3.
Below is a geometry-optimized AlFeRu structure, with properties calculated at the GGA-PBE level.

abc: 4.9455 4.9455 4.9455
angles: 145.16 145.16 50.09
Sites, in units of the cell vectors:
Fe 0.3317 0.3317 0.0000
Al 0.9980 0.9980 0.0000
Ru 0.6703 0.6703 0.0000

Calculated values
**Size of the total moment**: 2.590 μB/cell
**DOS(E_F)**: 2.8 states/eV/cell
**Crystal system**: tetragonal
**Energy of formation**: -280 meV per atom

=====

4.
Below is a geometry-optimized Al2FeRu2 structure, with properties calculated at the GGA-PBE level.

abc: 6.6853 6.6853 3.1747
angles: 90.00 90.00 90.00
Sites, in units of the cell vectors:
Al 0.6573 0.8427 0.5000
Ru 0.8567 0.6433 0.0000
Ru 0.3567 0.8567 0.0000
Ru 0.6433 0.1433 0.0000
Fe 0.0000 0.0000 0.0000
Ru 0.1433 0.3567 0.0000
Al 0.3427 0.1573 0.5000
Al 0.8427 0.3427 0.5000
Fe 0.5000 0.5000 0.0000
Al 0.1573 0.6573 0.5000

Calculated values
**Size of the total moment**: 0.021 μB/cell
**Energy relative to the lowest polymorph listed for this composition**: 70.9 meV per atom
**DOS(E_F)**: 18.4 states/eV/cell
**Crystal system**: tetragonal
**Energy of formation**: 9 meV per atom

=====

5.
Below is a geometry-optimized Al2FeRu2 structure, with properties calculated at the GGA-PBE level.

abc: 3.4765 3.4765 6.7940
angles: 75.18 75.18 90.00
Sites, in units of the cell vectors:
Al 0.7500 0.2500 0.5000
Ru 0.6037 0.6037 0.7927
Fe 0.0000 0.0000 0.0000
Al 0.2500 0.7500 0.5000
Ru 0.3963 0.3963 0.2073

Calculated values
**Size of the total moment**: 4.227 μB/cell
**Energy relative to the lowest polymorph listed for this composition**: 246.9 meV per atom
**DOS(E_F)**: 2.9 states/eV/cell
**Crystal system**: tetragonal
**Energy of formation**: 185 meV per atom

=====

6.
Below is a geometry-optimized Al5Fe4Ru structure, with properties calculated at the GGA-PBE level.

abc: 2.9135 2.9135 14.4438
angles: 90.00 90.00 90.00
Sites, in units of the cell vectors:
Al 0.5000 0.5000 0.3041
Fe 0.0000 0.0000 0.2071
Fe 0.0000 0.0000 0.5985
Al 0.5000 0.5000 0.8936
Ru 0.0000 0.0000 0.0000
Al 0.5000 0.5000 0.1064
Al 0.5000 0.5000 0.6959
Fe 0.0000 0.0000 0.4015
Fe 0.0000 0.0000 0.7929
Al 0.5000 0.5000 0.5000

Calculated values
**Size of the total moment**: 3.335 μB/cell
**DOS(E_F)**: 11.6 states/eV/cell
**Crystal system**: tetragonal
**Energy of formation**: -385 meV per atom

=====

7.
Below is a geometry-optimized Al2FeRu structure, with properties calculated at the GGA-PBE level.

abc: 2.7160 2.7160 7.9052
angles: 90.00 90.00 111.69
Sites, in units of the cell vectors:
Fe 0.5000 0.5000 0.2500
Ru 0.5000 0.5000 0.7500
Al 0.0000 0.0000 0.0048
Al 0.0000 0.0000 0.4952

Calculated values
**Size of the total moment**: 1.794 μB/cell
**DOS(E_F)**: 2.9 states/eV/cell
**Crystal system**: orthorhombic
**Energy of formation**: -238 meV per atom

=====

8.
Below is a geometry-optimized AlFeRu4 structure, with properties calculated at the GGA-PBE level.

abc: 5.0533 5.0533 5.0533
angles: 60.00 60.00 60.00
Sites, in units of the cell vectors:
Ru 0.3751 0.3751 0.3751
Al 0.7500 0.7500 0.7500
Ru 0.3751 0.3751 0.8746
Fe 0.0000 0.0000 0.0000
Ru 0.8746 0.3751 0.3751
Ru 0.3751 0.8746 0.3751

Calculated values
**Size of the total moment**: 4.662 μB/cell
**DOS(E_F)**: 8.7 states/eV/cell
**Crystal system**: cubic
**Energy of formation**: 397 meV per atom

=====

9.
Below is a geometry-optimized Al2Fe2Ru structure, with properties calculated at the GGA-PBE level.

abc: 7.1438 7.1438 2.5918
angles: 90.00 90.00 90.00
Sites, in units of the cell vectors:
Fe 0.1137 0.3863 0.0000
Al 0.6832 0.8168 0.5000
Fe 0.8863 0.6137 0.0000
Fe 0.6137 0.1137 0.0000
Al 0.1832 0.6832 0.5000
Ru 0.0000 0.0000 0.0000
Ru 0.5000 0.5000 0.0000
Al 0.8168 0.3168 0.5000
Fe 0.3863 0.8863 0.0000
Al 0.3168 0.1832 0.5000

Calculated values
**Size of the total moment**: 7.230 μB/cell
**Energy relative to the lowest polymorph listed for this composition**: 42.8 meV per atom
**DOS(E_F)**: 11.4 states/eV/cell
**Crystal system**: tetragonal
**Energy of formation**: -39 meV per atom

=====

10.
Below is a geometry-optimized AlFeRu structure, with properties calculated at the GGA-PBE level.

abc: 4.0528 5.9118 6.6961
angles: 90.15 90.00 90.00
Sites, in units of the cell vectors:
Al 0.7500 0.8740 0.7130
Fe 0.7500 0.6250 0.0165
Ru 0.7500 0.8761 0.3385
Fe 0.7500 0.1250 0.0165
Ru 0.2500 0.1239 0.6615
Ru 0.7500 0.3761 0.3385
Al 0.2500 0.6260 0.2871
Fe 0.2500 0.3750 0.9835
Al 0.7500 0.3740 0.7130
Al 0.2500 0.1260 0.2871
Ru 0.2500 0.6239 0.6615
Fe 0.2500 0.8750 0.9835

Calculated values
**Size of the total moment**: 10.508 μB/cell
**DOS(E_F)**: 8.0 states/eV/cell
**Crystal system**: monoclinic
**Energy of formation**: -249 meV per atom

=====

11.
Below is a geometry-optimized Al4Fe3Ru structure, with properties calculated at the GGA-PBE level.

abc: 2.9238 2.9238 11.5737
angles: 90.00 90.00 90.00
Sites, in units of the cell vectors:
Fe 0.5000 0.5000 0.2578
Al 0.0000 0.0000 0.6216
Al 0.0000 0.0000 0.1322
Al 0.0000 0.0000 0.3784
Fe 0.5000 0.5000 0.5000
Fe 0.5000 0.5000 0.7422
Ru 0.5000 0.5000 0.0000
Al 0.0000 0.0000 0.8678

Calculated values
**Size of the total moment**: 2.713 μB/cell
**DOS(E_F)**: 9.2 states/eV/cell
**Crystal system**: tetragonal
**Energy of formation**: -400 meV per atom

=====

12.
Below is a geometry-optimized Al2FeRu structure, with properties calculated at the GGA-PBE level.

abc: 3.0519 4.1100 8.3040
angles: 90.00 90.00 90.00
Sites, in units of the cell vectors:
Ru 0.5000 0.2500 0.8671
Fe 0.5000 0.2500 0.3911
Al 0.0000 0.2500 0.1256
Al 0.0000 0.2500 0.6270
Al 0.0000 0.7500 0.3730
Fe 0.5000 0.7500 0.6089
Al 0.0000 0.7500 0.8744
Ru 0.5000 0.7500 0.1329

Calculated values
**Size of the total moment**: 3.064 μB/cell
**DOS(E_F)**: 5.9 states/eV/cell
**Crystal system**: orthorhombic
**Energy of formation**: -502 meV per atom

=====

- Number 3 is which compound?
  AlFeRu